AgWNF2 | PBE with a Hubbard U | optimized geometry

The space group is P4/mmm (No. 123) and the conventional cell measures 4.2626, 4.2626 and 4.0219 Å, with angles of 90.00, 90.00 and 90.00 degrees. The distinct sites, in fractional coordinates, are Ag at (0.0000, 0.0000, 0.0000), W at (0.5000, 0.5000, 0.5000), N at (0.5000, 0.5000, 0.0000) and F at (0.0000, 0.5000, 0.5000).

The total energy comes out at -5.275 eV/atom.